[1]
CeAg2B2O6: relaxed, PBE.

Cell: 5.4218 5.4218 6.0036 Å, 90.00 90.00 120.00°
Element x y z (fractional)
Ce: 0.0000 0.0000 0.0000
Ag: 0.3333 0.6667 0.2999
Ag: 0.6667 0.3333 0.7001
B: 0.3333 0.6667 0.7822
B: 0.6667 0.3333 0.2178
O: 0.1093 0.7219 0.7825
O: 0.2781 0.3874 0.7825
O: 0.3874 0.1093 0.2175
O: 0.6126 0.8907 0.7825
O: 0.7219 0.6126 0.2175
O: 0.8907 0.2781 0.2175

Output
* spin magnetization: 0.00 μB/f.u.
* total DFT energy (no corrections): -6.9665 eV per atom
* crystal system: trigonal

[2]
CeAgB2O6: relaxed, PBE.

Cell: 6.4706 6.4706 6.8362 Å, 101.40 101.40 109.25°
Element x y z (fractional)
Ce: 0.0785 0.9215 0.7500
Ce: 0.9215 0.0785 0.2500
Ag: 0.4093 0.5907 0.2500
Ag: 0.5907 0.4093 0.7500
B: 0.0935 0.4000 0.7697
B: 0.4000 0.0935 0.2697
B: 0.6000 0.9065 0.7303
B: 0.9065 0.6000 0.2303
O: 0.0039 0.2027 0.6024
O: 0.0074 0.5669 0.7691
O: 0.2027 0.0039 0.1024
O: 0.2679 0.3987 0.9221
O: 0.3987 0.2679 0.4221
O: 0.4331 0.9926 0.7309
O: 0.5669 0.0074 0.2691
O: 0.6013 0.7321 0.5779
O: 0.7321 0.6013 0.0779
O: 0.7973 0.9961 0.8976
O: 0.9926 0.4331 0.2309
O: 0.9961 0.7973 0.3976

Output
* spin magnetization: 0.00 μB/f.u.
* total DFT energy (no corrections): -7.3517 eV per atom
* crystal system: monoclinic
* N(E_F): 4.7 states/eV/cell

[3]
Ce2AgB2Rh5: relaxed, PBE.

Cell: 9.5813 9.5813 3.3207 Å, 90.00 90.00 90.00°
Element x y z (fractional)
Ce: 0.1776 0.3224 0.0000
Ce: 0.3224 0.8224 0.0000
Ce: 0.6776 0.1776 0.0000
Ce: 0.8224 0.6776 0.0000
Ag: 0.0000 0.0000 0.0000
Ag: 0.5000 0.5000 0.0000
B: 0.1207 0.6207 0.0000
B: 0.3793 0.1207 0.0000
B: 0.6207 0.8793 0.0000
B: 0.8793 0.3793 0.0000
Rh: 0.0000 0.5000 0.5000
Rh: 0.0718 0.7737 0.5000
Rh: 0.2263 0.0718 0.5000
Rh: 0.2737 0.5718 0.5000
Rh: 0.4282 0.2737 0.5000
Rh: 0.5000 0.0000 0.5000
Rh: 0.5718 0.7263 0.5000
Rh: 0.7263 0.4282 0.5000
Rh: 0.7737 0.9282 0.5000
Rh: 0.9282 0.2263 0.5000

Output
* spin magnetization: 0.11 μB/f.u.
* total DFT energy (no corrections): -7.0742 eV per atom
* crystal system: tetragonal
* N(E_F): 12.7 states/eV/cell
* E_form: -0.591 eV per atom

[4]
AgBCl2: relaxed, PBE.

Cell: 10.2062 10.2062 10.2062 Å, 17.89 17.89 17.89°
Element x y z (fractional)
Ag: 0.0000 0.0000 0.0000
B: 0.5000 0.5000 0.5000
Cl: 0.4446 0.4446 0.4446
Cl: 0.5554 0.5554 0.5554

Output
* spin magnetization: 0.00 μB/f.u.
* total DFT energy (no corrections): -2.9828 eV per atom
* crystal system: trigonal
* N(E_F): 1.3 states/eV/cell
* polymorph energy (0 for the lowest one): 0.00 eV per formula unit